Tl3S | PBE | relaxed

abc: 3.868 10.575 5.802
angles: 90.00 90.00 90.00
Space group Imm2 (No. 44)
Symmetry-distinct sites (fractional):
Tl: 0.000 0.000 0.000 [2 per cell]
Tl: 0.000 0.200 0.539 [4 per cell]
S: 0.000 0.500 0.874 [2 per cell]

Values from the calculation:
ρ: 9.029 g/cm3

***

Tl4S | PBE | relaxed

abc: 5.732 5.732 5.732
angles: 90.00 90.00 90.00
Space group Pm-3m (No. 221)
Symmetry-distinct sites (fractional):
Tl: 0.000 0.000 0.000 [1 per cell]
Tl: 0.000 0.500 0.500 [3 per cell]
S: 0.500 0.500 0.500 [1 per cell]

Values from the calculation:
Excess energy over the best structure of this formula in the dataset: 255 meV per atom
ρ: 7.493 g/cm3

***

TlS | PBE | relaxed

abc: 7.947 7.947 7.947
angles: 90.00 90.00 90.00
Space group Pm-3n (No. 223)
Symmetry-distinct sites (fractional):
Tl: 0.000 0.250 0.500 [6 per cell]
S: 0.000 0.500 0.250 [6 per cell]

Values from the calculation:
ρ: 4.693 g/cm3

***

TlS | PBE | relaxed

abc: 4.123 4.123 7.026
angles: 90.00 90.00 90.00
Space group P4/nmm (No. 129, origin choice 2)
Symmetry-distinct sites (fractional):
Tl: 0.250 0.250 0.197 [2 per cell]
S: 0.250 0.750 0.500 [2 per cell]

Values from the calculation:
ρ: 6.575 g/cm3

***

TlS | PBE | relaxed

abc: 3.959 12.381 6.466
angles: 90.00 90.00 90.00
Space group Imm2 (No. 44)
Symmetry-distinct sites (fractional):
Tl: 0.000 0.000 0.000 [2 per cell]
Tl: 0.000 0.337 0.982 [4 per cell]
S: 0.000 0.000 0.517 [2 per cell]
S: 0.000 0.311 0.553 [4 per cell]

Values from the calculation:
ρ: 7.434 g/cm3

***

TlS5 | PBE | relaxed

abc: 4.589 5.510 8.605
angles: 95.17 92.29 112.74
Space group P1 (No. 1)
Symmetry-distinct sites (fractional):
Tl: 0.000 0.000 0.000 [1 per cell]
S: 0.014 0.517 0.119 [1 per cell]
S: 0.246 0.607 0.695 [1 per cell]
S: 0.293 0.663 0.317 [1 per cell]
S: 0.466 0.000 0.788 [1 per cell]
S: 0.971 0.584 0.501 [1 per cell]

Values from the calculation:
ρ: 3.041 g/cm3

***

| no. | E_form (uncorrected) (eV/atom) |
| --- | --- |
| 1 | -0.184 |
| 2 | 0.152 |
| 3 | -0.015 |
| 4 | 0.052 |
| 5 | -0.178 |
| 6 | 0.027 |